! TaHg2As PBE-GGA relaxed; values from VASP
! Calculated formation energy, meV/atom: 324
! Raw total energy, eV/atom: -3.95
! Mass density, g/cm³: 13.30
! Space group: Pm (6)
&SYSTEM
  ibrav = 0, nat = 4, ntyp = 3
/
ATOMIC_SPECIES
As 74.92 As.upf
Ta 180.95 Ta.upf
Hg 200.59 Hg.upf
ATOMIC_POSITIONS angstrom
As -2.754 1.496 4.131
Ta -2.297 -0.863 2.959
Hg -1.645 1.957 1.582
Hg -0.712 -0.456 5.682
CELL_PARAMETERS angstrom
-1.497 4.614 0.183
-2.817 -0.913 -0.038
-0.674 -0.445 5.692